DFT (PBE) results for a relaxed Nb2Ge2O7 crystal.

Output
Space-group type ... P2_1 (4)
Energy relative to the elements, uncorrected ... -1.994 eV/atom
Crystal system ... monoclinic
Volume ... 631.4 Å³ per cell

Unit cell a=5.789 b=8.008 c=13.689 alpha=95.75 beta=90.00 gamma=90.00
Fractional coordinates of all 44 atoms:
Nb  0.226  0.924  0.675
Nb  0.715  0.966  0.876
Nb  0.733  0.588  0.314
Nb  0.212  0.530  0.112
Nb  0.712  0.470  0.888
Nb  0.233  0.412  0.686
Nb  0.215  0.034  0.124
Nb  0.726  0.076  0.325
Ge  0.257  0.859  0.432
Ge  0.635  0.822  0.096
Ge  0.156  0.692  0.860
Ge  0.761  0.576  0.570
Ge  0.261  0.424  0.430
Ge  0.656  0.308  0.140
Ge  0.135  0.178  0.904
Ge  0.757  0.141  0.568
O  0.954  0.972  0.608
O  0.042  0.979  0.818
O  0.774  0.815  0.309
O  0.283  0.776  0.108
O  0.400  0.872  0.560
O  0.529  0.962  0.990
O  0.516  0.948  0.772
O  0.445  0.618  0.393
O  0.549  0.540  0.189
O  0.810  0.723  0.883
O  0.179  0.694  0.709
O  0.910  0.545  0.438
O  0.994  0.498  0.013
O  0.027  0.535  0.224
O  0.527  0.465  0.776
O  0.494  0.502  0.987
O  0.410  0.455  0.562
O  0.679  0.306  0.291
O  0.310  0.277  0.117
O  0.049  0.460  0.811
O  0.945  0.382  0.607
O  0.016  0.052  0.228
O  0.029  0.038  0.010
O  0.900  0.128  0.440
O  0.783  0.224  0.892
O  0.274  0.185  0.691
O  0.542  0.021  0.182
O  0.454  0.028  0.392

---

DFT (PBE) results for a relaxed NbGe2O crystal.

Output
Space-group type ... I-42d (122)
Energy relative to the elements, uncorrected ... -0.117 eV/atom
Crystal system ... tetragonal
Volume ... 127.6 Å³ per cell

Unit cell a=6.108 b=6.108 c=5.510 alpha=56.34 beta=56.34 gamma=90.00
Fractional coordinates of all 8 atoms:
Nb  0.000  0.000  0.000
Nb  0.750  0.250  0.500
Ge  0.551  0.125  0.250
Ge  0.199  0.625  0.250
Ge  0.375  0.449  0.750
Ge  0.875  0.801  0.750
O  0.500  0.500  0.000
O  0.250  0.750  0.500

---

DFT (PBE) results for a relaxed Nb2GeO crystal.

Output
Space-group type ... I-42d (122)
Energy relative to the elements, uncorrected ... -0.451 eV/atom
Crystal system ... tetragonal
Volume ... 146.9 Å³ per cell

Unit cell a=4.956 b=4.956 c=6.934 alpha=69.06 beta=69.06 gamma=90.00
Fractional coordinates of all 8 atoms:
Nb  0.523  0.125  0.250
Nb  0.227  0.625  0.250
Nb  0.375  0.477  0.750
Nb  0.875  0.773  0.750
Ge  0.000  0.000  0.000
Ge  0.750  0.250  0.500
O  0.500  0.500  0.000
O  0.250  0.750  0.500

---

DFT (PBE) results for a relaxed NbGe3O crystal.

Output
Space-group type ... Pm-3m (221)
Energy relative to the elements, uncorrected ... 0.045 eV/atom
Crystal system ... cubic
Volume ... 79.7 Å³ per cell

Unit cell a=4.303 b=4.303 c=4.303 alpha=90.00 beta=90.00 gamma=90.00
Fractional coordinates of all 5 atoms:
Nb  0.500  0.500  0.500
Ge  0.000  0.500  0.000
Ge  0.000  0.000  0.500
Ge  0.500  0.000  0.000
O  0.000  0.000  0.000

---

DFT (PBE) results for a relaxed NbGeO2 crystal.

Output
Space-group type ... R-3m (166)
Energy relative to the elements, uncorrected ... -1.534 eV/atom
Crystal system ... trigonal
Volume ... 51.6 Å³ per cell

Unit cell a=7.193 b=7.193 c=7.193 alpha=23.41 beta=23.41 gamma=23.41
Fractional coordinates of all 4 atoms:
Nb  0.500  0.500  0.500
Ge  0.000  0.000  0.000
O  0.897  0.897  0.897
O  0.103  0.103  0.103

---

DFT (PBE) results for a relaxed NbGeO2 crystal.

Output
Space-group type ... I-42d (122)
Energy relative to the elements, uncorrected ... -1.074 eV/atom
Crystal system ... tetragonal
Volume ... 142.8 Å³ per cell

Unit cell a=5.278 b=5.278 c=6.341 alpha=65.41 beta=65.41 gamma=90.00
Fractional coordinates of all 8 atoms:
Nb  0.000  0.000  0.000
Nb  0.750  0.250  0.500
Ge  0.500  0.500  0.000
Ge  0.250  0.750  0.500
O  0.761  0.125  0.250
O  0.989  0.625  0.250
O  0.375  0.239  0.750
O  0.875  0.011  0.750

---

DFT (PBE) results for a relaxed Nb2GeO8 crystal.

Output
Space-group type ... P-3m1 (164)
Energy relative to the elements, uncorrected ... -1.671 eV/atom
Crystal system ... trigonal
Volume ... 131.8 Å³ per cell

Unit cell a=4.082 b=6.107 c=6.107 alpha=120.00 beta=90.00 gamma=90.00
Fractional coordinates of all 11 atoms:
Nb  0.776  0.667  0.333
Nb  0.224  0.333  0.667
Ge  0.500  0.000  0.000
O  0.753  0.333  0.667
O  0.247  0.667  0.333
O  0.257  0.153  0.306
O  0.743  0.847  0.694
O  0.743  0.306  0.153
O  0.257  0.694  0.847
O  0.257  0.153  0.847
O  0.743  0.847  0.153

---

DFT (PBE) results for a relaxed NbGeP2O crystal.

Output
Space-group type ... P4/mmm (123)
Energy relative to the elements, uncorrected ... -0.306 eV/atom
Crystal system ... tetragonal
Volume ... 95.5 Å³ per cell

Unit cell a=4.966 b=4.966 c=3.873 alpha=90.00 beta=90.00 gamma=90.00
Fractional coordinates of all 5 atoms:
P  0.000  0.500  0.000
P  0.500  0.000  0.000
Nb  0.000  0.000  0.000
Ge  0.500  0.500  0.500
O  0.000  0.000  0.500